The following is a DFT calculation (PBE) of a relaxed structure of Pr2NdGa2Pt7.

abc: 4.1515 4.1515 14.2665
angles: 96.00 96.00 89.38
Last column: nearest neighbours and their distance in Å.
Sites, in units of the cell vectors:
Pr 0.1121 0.1121 0.3576  5 Pt 3.06-3.20, 4 Ga 3.21-3.37
Pr 0.8879 0.8879 0.6424  5 Pt 3.06-3.20, 4 Ga 3.21-3.37
Nd 0.0000 0.0000 0.0000  12 Pt 2.92-3.03
Ga 0.4098 0.4098 0.7453  5 Pt 2.47-2.50
Ga 0.5902 0.5902 0.2547  5 Pt 2.47-2.50
Pt 0.0554 0.5551 0.1560  2 Ga 2.50
Pt 0.3734 0.3734 0.5708  1 Ga 2.47, 1 Pt 2.68
Pt 0.4449 0.9446 0.8440  2 Ga 2.50
Pt 0.5000 0.5000 0.0000  4 Nd 2.92-2.95, 8 Pt 3.03
Pt 0.5551 0.0554 0.1560  2 Ga 2.50
Pt 0.6266 0.6266 0.4292  1 Ga 2.47, 1 Pt 2.68
Pt 0.9446 0.4449 0.8440  2 Ga 2.50

total magnetization: 0.000 μB per formula unit
E: -0.2261 hartree per atom
ΔE_f: -0.9301 eV/atom